# 1
VASP calculation (PBE) on a relaxed structure of PrTm2Mg5.

Computed properties:
ΔH_f (0 K)	-0.076	eV/atom
ρ	4.74	g/cm3

Cell lengths 5.2662, 5.2662, 15.1560 Å; angles 90.00, 90.00, 90.00 degrees
Last column: nearest neighbours and their distance in Å.
Space group I4/mmm (No. 139)
Inequivalent atoms, fractional coordinates:
Pr1 0.0000 0.0000 0.0000  8 Mg 3.23
Tm1 0.0000 0.0000 0.2573  8 Mg 3.19-3.32
Mg1 0.0000 0.0000 0.5000  8 Mg 3.23
Mg2 0.0000 0.5000 0.1239  4 Tm 3.19-3.32, 2 Pr 3.23, 2 Mg 3.23


# 2
VASP calculation (PBE) on a relaxed structure of Na2LiI2Br.

Computed properties:
ΔE_f (raw)	-1326.7	meV per atom
ρ	2.95	g/cm3

Cell lengths 15.4147, 8.5462, 6.6125 Å; angles 90.00, 90.00, 90.00 degrees
Last column: nearest neighbours and their distance in Å.
Space group Cmc2_1 (No. 36)
Inequivalent atoms, fractional coordinates:
Na1 0.1572 0.1800 0.0000  1 Br 2.88, 2 I 3.14
Li1 0.0000 0.3584 0.4158  2 Br 2.52-2.54
I1 0.1526 0.1876 0.5061  1 Li 2.83, 2 Na 3.14
Br1 0.0000 0.3603 0.0318  2 Li 2.52-2.54


# 3
VASP calculation (PBE) on a relaxed structure of ReRuW4.

Computed properties:
ΔH_f (0 K)	0.455	eV/atom
ρ	17.36	g/cm3

Cell lengths 7.3147, 7.3147, 7.3147 Å; angles 90.00, 90.00, 90.00 degrees
Last column: nearest neighbours and their distance in Å.
Space group F-43m (No. 216)
Inequivalent atoms, fractional coordinates:
Re1 0.0000 0.0000 0.0000  12 W 3.03, 4 Ru 3.17
Ru1 0.2500 0.2500 0.7500  12 W 3.03, 4 Re 3.17
W1 0.1254 0.1254 0.3746  6 W 2.58-2.60


# 4
VASP calculation (PBE) on a relaxed structure of TaBeCu2.

Computed properties:
ΔH_f (0 K)	0.434	eV/atom
ρ	9.71	g/cm3

Cell lengths 3.5350, 3.5350, 17.3633 Å; angles 90.00, 90.00, 90.00 degrees
Last column: nearest neighbours and their distance in Å.
Space group I-42d (No. 122)
Inequivalent atoms, fractional coordinates:
Ta1 0.0000 0.0000 0.0000  4 Be 2.50, 4 Cu 2.54
Be1 0.0000 0.0000 0.5000  4 Cu 2.47, 4 Ta 2.50
Cu1 0.2233 0.2500 0.6250  4 Cu 2.37-2.64, 2 Be 2.47, 2 Ta 2.54


# 5
VASP calculation (PBE) on a relaxed structure of VAsSBr2.

Computed properties:
energy relative to the lowest polymorph listed for this composition	0.0000	eV per atom
ΔE_f (raw)	334.9	meV per atom
ρ	4.58	g/cm3

Cell lengths 4.6904, 4.6904, 5.2336 Å; angles 90.00, 90.00, 90.00 degrees
Last column: nearest neighbours and their distance in Å.
Space group P4/mmm (No. 123)
Inequivalent atoms, fractional coordinates:
V1 0.0000 0.0000 0.0000  4 Br 2.35, 2 As 2.62
As1 0.0000 0.0000 0.5000  2 V 2.62
S1 0.5000 0.5000 0.5000  4 As 3.32, 8 Br 3.51
Br1 0.0000 0.5000 0.0000  2 V 2.35


# 6
VASP calculation (PBE) on a relaxed structure of KRe.

Computed properties:
ΔH_f (0 K)	3.299	eV/atom
energy relative to the lowest polymorph listed for this composition	2.4681	eV per atom
ρ	3.62	g/cm3

Cell lengths 5.9716, 5.9716, 6.6987 Å; angles 90.00, 90.00, 120.00 degrees
Last column: nearest neighbours and their distance in Å.
Space group P6_3/mmc (No. 194)
Inequivalent atoms, fractional coordinates:
K1 0.3333 0.6667 0.2500  5 Re 3.35-3.45
Re1 0.3333 0.6667 0.7500  5 K 3.35-3.45


# 7
VASP calculation (PBE) on a relaxed structure of Cs2AgHg2F6.

Computed properties:
ΔE_f (raw)	-1708.1	meV per atom
ρ	5.73	g/cm3

Cell lengths 11.5213, 6.7536, 7.5223 Å; angles 90.00, 118.39, 90.00 degrees
Last column: nearest neighbours and their distance in Å.
Space group C2/m (No. 12)
Inequivalent atoms, fractional coordinates:
Cs1 0.2201 0.0000 0.1520  3 F 2.78-3.03
Ag1 0.0000 0.0000 0.5000  4 F 2.17
Hg1 0.0742 0.5000 0.1940  1 F 2.12
F1 0.0494 0.2210 0.7352  1 Ag 2.17
F2 0.2425 0.0000 0.5371  1 Hg 2.12


# 8
VASP calculation (PBE) on a relaxed structure of BaLiTlPt.

Computed properties:
ΔH_f (0 K)	-0.464	eV/atom
ρ	8.13	g/cm3

Cell lengths 8.3555, 4.8094, 6.2170 Å; angles 90.00, 117.26, 90.00 degrees
Last column: nearest neighbours and their distance in Å.
Space group Cm (No. 8)
Inequivalent atoms, fractional coordinates:
Ba1 0.0000 0.0000 0.0000  1 Li 3.08, 1 Pt 3.23
Li1 0.3158 0.5000 0.4430  3 Tl 2.82-2.84, 3 Pt 2.89, 1 Ba 3.08
Tl1 0.0140 0.5000 0.5372  3 Pt 2.79, 3 Li 2.82-2.84
Pt1 0.1972 0.0000 0.5846  3 Tl 2.79, 3 Li 2.89


# 9
VASP calculation (PBE) on a relaxed structure of La7Ga2Ir2.

Computed properties:
ΔH_f (0 K)	-0.469	eV/atom
ρ	7.32	g/cm3

Cell lengths 8.2648, 11.4632, 7.1608 Å; angles 90.00, 90.00, 90.00 degrees
Last column: nearest neighbours and their distance in Å.
Space group Cmmm (No. 65)
Inequivalent atoms, fractional coordinates:
La1 0.0000 0.0000 0.0000  2 Ir 3.38
La2 0.0000 0.5000 0.2644  2 Ir 3.02, 2 Ga 3.31, 1 La 3.37
La3 0.2500 0.2500 0.2619  2 Ir 2.84
Ga1 0.1560 0.0000 0.5000  1 Ga 2.58
Ir1 0.0000 0.2950 0.0000  6 La 2.84-3.02


# 10
VASP calculation (PBE) on a relaxed structure of LaCe2Ga2Au2.

Computed properties:
ΔH_f (0 K)	-0.636	eV/atom
ρ	9.67	g/cm3

Cell lengths 4.5112, 4.5112, 27.8386 Å; angles 90.00, 90.00, 120.00 degrees
Last column: nearest neighbours and their distance in Å.
Space group R-3m (No. 166, hexagonal axes)
Inequivalent atoms, fractional coordinates:
La1 0.0000 0.0000 0.0000  6 Au 3.34, 6 Ga 3.36
Ce1 0.0000 0.0000 0.1407  3 Ce 2.98, 4 Ga 3.16-3.23, 3 Au 3.18
Ga1 0.0000 0.0000 0.2568  3 Au 2.60
Au1 0.0000 0.0000 0.4087  3 Ga 2.60


# 11
VASP calculation (PBE) on a relaxed structure of Na3B4C2.

Computed properties:
ΔH_f (0 K)	0.099	eV/atom
energy relative to the lowest polymorph listed for this composition	0.0010	eV per atom
ρ	2.45	g/cm3

Cell lengths 2.8088, 15.3491, 8.5751 Å; angles 90.00, 90.00, 90.00 degrees
Last column: nearest neighbours and their distance in Å.
Space group Cmcm (No. 63)
Inequivalent atoms, fractional coordinates:
Na1 0.0000 0.0000 0.0000  10 B 2.68-2.86, 2 C 2.79, 6 Na 2.81-2.92
Na2 0.0000 0.3334 0.0018  7 B 2.65-2.80, 5 C 2.66-2.73, 6 Na 2.81-2.92
B1 0.0000 0.1237 0.2500  1 C 1.56
B2 0.0000 0.2209 0.7500  3 C 1.60-1.63
B3 0.0000 0.4367 0.2500  2 C 1.62, 1 B 1.74
B4 0.0000 0.4499 0.7500  3 B 1.74-1.80
C1 0.0000 0.1164 0.7500  3 B 1.60-1.62
C2 0.0000 0.2252 0.2500  3 B 1.56-1.63


# 12
VASP calculation (PBE) on a relaxed structure of Pm3InAg4.

Computed properties:
ΔH_f (0 K)	-0.138	eV/atom
ρ	7.57	g/cm3

Cell lengths 16.5964, 3.9267, 7.3603 Å; angles 90.00, 116.13, 90.00 degrees
Last column: nearest neighbours and their distance in Å.
Space group C2/m (No. 12)
Inequivalent atoms, fractional coordinates:
Pm1 0.0000 0.0000 0.0000  8 Ag 3.13-3.14
Pm2 0.1840 0.0000 0.6828  6 Ag 3.07-3.09, 2 In 3.37
In1 0.0000 0.5000 0.5000  4 Ag 3.00-3.02
Ag1 0.1329 0.5000 0.3252  1 Ag 2.84, 1 In 3.00, 5 Pm 3.07-3.13
Ag2 0.1341 0.5000 0.9409  1 Ag 2.84, 1 In 3.02, 5 Pm 3.07-3.14


# 13
VASP calculation (PBE) on a relaxed structure of Hf2CuF2.

Computed properties:
energy relative to the lowest polymorph listed for this composition	0.7997	eV per atom
ΔE_f (raw)	-857.2	meV per atom
ρ	9.43	g/cm3

Cell lengths 7.5578, 7.5578, 2.8272 Å; angles 90.00, 90.00, 90.00 degrees
Last column: nearest neighbours and their distance in Å.
Space group P4/mbm (No. 127)
Inequivalent atoms, fractional coordinates:
Hf1 0.2306 0.2694 0.0000  2 F 2.22
Cu1 0.0000 0.0000 0.0000  4 Hf 2.68, 2 Cu 2.83
F1 0.1097 0.6097 0.5000  2 Hf 2.22, 1 F 2.35


# 14
VASP calculation (PBE) on a relaxed structure of Zn2CrTc.

Computed properties:
ΔH_f (0 K)	0.133	eV/atom
energy relative to the lowest polymorph listed for this composition	0.0936	eV per atom
ρ	8.26	g/cm3

Cell lengths 2.7300, 2.7300, 26.2288 Å; angles 90.00, 90.00, 120.00 degrees
Last column: nearest neighbours and their distance in Å.
Space group R3m (No. 160, hexagonal axes)
Inequivalent atoms, fractional coordinates:
Zn1 0.0000 0.0000 0.0000  3 Cr 2.68, 9 Zn 2.73-2.85
Zn2 0.0000 0.0000 0.2427  9 Zn 2.73-2.85, 3 Tc 2.77
Cr1 0.0000 0.0000 0.7491  3 Tc 2.49, 3 Zn 2.68, 6 Cr 2.73
Tc1 0.0000 0.0000 0.4893  3 Cr 2.49, 6 Tc 2.73, 3 Zn 2.77